A relaxed TiNbI crystal. Source: Alexandria via LeMat-Bulk, functional PBE-GGA.

**Total magnetic moment**: 0.00 μB/atom
**Uncorrected energy**: -37.20 eV per cell
**Raw formation energy**: 0.305 eV per atom

```
data_TiNbI
_chemical_formula_sum 'Ti2 Nb2 I2'
_symmetry_space_group_name_H-M 'P -1'
_symmetry_Int_Tables_number 2
_cell_length_a 3.343
_cell_length_b 4.769
_cell_length_c 8.097
_cell_angle_alpha 89.98
_cell_angle_beta 89.99
_cell_angle_gamma 89.98
loop_
_symmetry_equiv_pos_as_xyz
'x,y,z'
'-x,-y,-z'
loop_
_atom_site_label
_atom_site_type_symbol
_atom_site_fract_x
_atom_site_fract_y
_atom_site_fract_z
Ti1 Ti 0.250 0.250 0.037
Nb1 Nb 0.249 0.751 0.238
I1 I 0.251 0.750 0.654
```